(A)
MnV3Se6 | PBE | relaxed

Summary:
Volume (A^3/atom): 20.4
Density of states at the Fermi level (states/eV/atom): 0.579

a b c (Å): 6.7840 6.7840 6.7840
angles (deg): 56.72 56.72 56.72
Closest atoms and distances in Å follow each position.
Sites, in units of the cell vectors:
Mn: 0.0000 0.0000 0.0000  6 Se 2.54-2.66
V: 0.1810 0.1810 0.1810  6 Se 2.53-2.56
V: 0.5039 0.5039 0.5039  6 Se 2.53-2.59
V: 0.6836 0.6836 0.6836  6 Se 2.54-2.56
Se: 0.0938 0.7756 0.4215  3 V 2.53-2.56, 1 Mn 2.66
Se: 0.2807 0.5876 0.9203  1 Mn 2.54, 3 V 2.54-2.59
Se: 0.4215 0.0938 0.7756  3 V 2.53-2.56, 1 Mn 2.66
Se: 0.5876 0.9203 0.2807  1 Mn 2.54, 3 V 2.54-2.59
Se: 0.7756 0.4215 0.0938  3 V 2.53-2.56, 1 Mn 2.66
Se: 0.9203 0.2807 0.5876  1 Mn 2.54, 3 V 2.54-2.59



(B)
MnV3Se6 | PBE | relaxed

Summary:
Volume (A^3/atom): 21.2
Density of states at the Fermi level (states/eV/atom): 0.731

a b c (Å): 7.5150 7.5150 7.5150
angles (deg): 90.34 90.34 90.34
Closest atoms and distances in Å follow each position.
Sites, in units of the cell vectors:
Mn: 0.0000 0.0000 0.0000  6 Se 2.56
Mn: 0.5000 0.5000 0.5000  6 Se 2.52
V: 0.0798 0.2417 0.5752  6 Se 2.51-2.67
V: 0.2417 0.5752 0.0798  6 Se 2.51-2.67
V: 0.4248 0.9202 0.7583  6 Se 2.51-2.67
V: 0.5752 0.0798 0.2417  6 Se 2.51-2.67
V: 0.7583 0.4248 0.9202  6 Se 2.51-2.67
V: 0.9202 0.7583 0.4248  6 Se 2.51-2.67
Se: 0.0841 0.9148 0.6816  1 Mn 2.56, 3 V 2.56-2.62
Se: 0.0852 0.3184 0.9159  1 Mn 2.56, 3 V 2.56-2.62
Se: 0.1796 0.5367 0.4049  3 V 2.51-2.67, 1 Mn 2.52
Se: 0.3184 0.9159 0.0852  1 Mn 2.56, 3 V 2.56-2.62
Se: 0.4049 0.1796 0.5367  3 V 2.51-2.67, 1 Mn 2.52
Se: 0.4633 0.5951 0.8204  3 V 2.51-2.67, 1 Mn 2.52
Se: 0.5367 0.4049 0.1796  3 V 2.51-2.67, 1 Mn 2.52
Se: 0.5951 0.8204 0.4633  3 V 2.51-2.67, 1 Mn 2.52
Se: 0.6816 0.0841 0.9148  1 Mn 2.56, 3 V 2.56-2.62
Se: 0.8204 0.4633 0.5951  3 V 2.51-2.67, 1 Mn 2.52
Se: 0.9148 0.6816 0.0841  1 Mn 2.56, 3 V 2.56-2.62
Se: 0.9159 0.0852 0.3184  1 Mn 2.56, 3 V 2.56-2.62



Of them, the most stable is (A) and the least stable is (B).



(A)
Mn2VSe4 | PBE | relaxed

Summary:
Volume (A^3/atom): 19.1
Density of states at the Fermi level (states/eV/atom): 0.462

a b c (Å): 6.8097 6.8097 6.4982
angles (deg): 118.08 118.08 30.60
Closest atoms and distances in Å follow each position.
Sites, in units of the cell vectors:
Mn: 0.2473 0.2473 0.2123  6 Se 2.52-2.76
Mn: 0.7527 0.7527 0.7877  6 Se 2.52-2.76
V: 0.5000 0.5000 0.5000  6 Se 2.54-2.57
Se: 0.1322 0.1322 0.4711  2 V 2.57, 3 Mn 2.61-2.76
Se: 0.3881 0.3881 0.0522  3 Mn 2.52-2.53, 1 V 2.54
Se: 0.6119 0.6119 0.9478  3 Mn 2.52-2.53, 1 V 2.54
Se: 0.8678 0.8678 0.5289  2 V 2.57, 3 Mn 2.61-2.76



(B)
Mn2VSe4 | PBE | relaxed

Summary:
Volume (A^3/atom): 21.4
Density of states at the Fermi level (states/eV/atom): 0.833

a b c (Å): 12.8497 12.8497 12.8497
angles (deg): 16.53 16.53 16.53
Closest atoms and distances in Å follow each position.
Sites, in units of the cell vectors:
Mn: 0.0775 0.0775 0.0775  3 Se 2.48
Mn: 0.9225 0.9225 0.9225  3 Se 2.48
V: 0.5000 0.5000 0.5000  6 Se 2.63
Se: 0.2069 0.2069 0.2069  3 V 2.63, 3 Mn 2.83
Se: 0.3774 0.3774 0.3774  3 Mn 2.48
Se: 0.6226 0.6226 0.6226  3 Mn 2.48
Se: 0.7931 0.7931 0.7931  3 V 2.63, 3 Mn 2.83



Of them, the most stable is (A) and the least stable is (B).



(A)
Mn3VSe | PBE | relaxed

Summary:
Volume (A^3/atom): 18.2
Density of states at the Fermi level (states/eV/atom): 1.199

a b c (Å): 4.4940 4.4940 4.4940
angles (deg): 90.00 90.00 90.00
Closest atoms and distances in Å follow each position.
Sites, in units of the cell vectors:
Mn: 0.0000 0.0000 0.5000  2 Se 2.25
Mn: 0.0000 0.5000 0.0000  2 Se 2.25
Mn: 0.5000 0.0000 0.0000  2 Se 2.25
V: 0.5000 0.5000 0.5000  12 Mn 3.18
Se: 0.0000 0.0000 0.0000  6 Mn 2.25



(B)
Mn3VSe | PBE | relaxed

Summary:
Volume (A^3/atom): 18.3
Density of states at the Fermi level (states/eV/atom): 0.632

a b c (Å): 4.5058 4.5058 4.5058
angles (deg): 90.00 90.00 90.00
Closest atoms and distances in Å follow each position.
Sites, in units of the cell vectors:
Mn: 0.0000 0.0000 0.5000  2 V 2.25
Mn: 0.0000 0.5000 0.0000  2 V 2.25
Mn: 0.5000 0.0000 0.0000  2 V 2.25
V: 0.0000 0.0000 0.0000  6 Mn 2.25
Se: 0.5000 0.5000 0.5000  12 Mn 3.19



Of them, the most stable is (B) and the least stable is (A).



(A)
MnV2Se6 | PBE | relaxed

Summary:
Volume (A^3/atom): 20.7
Density of states at the Fermi level (states/eV/atom): 0.667

a b c (Å): 5.9680 5.9680 10.4664
angles (deg): 90.00 90.00 90.00
Closest atoms and distances in Å follow each position.
Sites, in units of the cell vectors:
Mn: 0.0000 0.0000 0.0000  6 Se 2.44-2.45
Mn: 0.5000 0.5000 0.5000  6 Se 2.44-2.45
V: 0.0000 0.0000 0.3454  6 Se 2.40-2.56
V: 0.0000 0.0000 0.6546  6 Se 2.40-2.56
V: 0.5000 0.5000 0.1546  6 Se 2.40-2.56
V: 0.5000 0.5000 0.8454  6 Se 2.40-2.56
Se: 0.1974 0.1974 0.1697  1 Mn 2.44, 2 V 2.48-2.56
Se: 0.1974 0.1974 0.8303  1 Mn 2.44, 2 V 2.48-2.56
Se: 0.2095 0.2095 0.5000  2 V 2.40, 1 Mn 2.45
Se: 0.2905 0.7095 0.0000  2 V 2.40, 1 Mn 2.45
Se: 0.3026 0.6974 0.3303  1 Mn 2.44, 2 V 2.48-2.56
Se: 0.3026 0.6974 0.6697  1 Mn 2.44, 2 V 2.48-2.56
Se: 0.6974 0.3026 0.3303  1 Mn 2.44, 2 V 2.48-2.56
Se: 0.6974 0.3026 0.6697  1 Mn 2.44, 2 V 2.48-2.56
Se: 0.7095 0.2905 0.0000  2 V 2.40, 1 Mn 2.45
Se: 0.7905 0.7905 0.5000  2 V 2.40, 1 Mn 2.45
Se: 0.8026 0.8026 0.1697  1 Mn 2.44, 2 V 2.48-2.56
Se: 0.8026 0.8026 0.8303  1 Mn 2.44, 2 V 2.48-2.56



(B)
MnV2Se6 | PBE | relaxed

Summary:
Volume (A^3/atom): 22.7
Density of states at the Fermi level (states/eV/atom): 0.281

a b c (Å): 7.5111 7.5111 9.0208
angles (deg): 113.70 113.70 26.09
Closest atoms and distances in Å follow each position.
Sites, in units of the cell vectors:
Mn: 0.0000 0.0000 0.0000  6 Se 2.46-2.47
V: 0.3239 0.3239 0.6495  6 Se 2.47-2.56
V: 0.6761 0.6761 0.3505  6 Se 2.47-2.56
Se: 0.0386 0.0386 0.2942  1 Mn 2.47, 2 V 2.52
Se: 0.3051 0.3051 0.3650  3 V 2.47-2.50
Se: 0.3694 0.3694 0.9560  2 Mn 2.46, 1 V 2.56
Se: 0.6306 0.6306 0.0440  2 Mn 2.46, 1 V 2.56
Se: 0.6949 0.6949 0.6350  3 V 2.47-2.50
Se: 0.9614 0.9614 0.7058  1 Mn 2.47, 2 V 2.52



Of them, the most stable is (B) and the least stable is (A).